Compound: Re2TeW
Source: the Alexandria database
Functional: PBE
Structure: relaxed

Lattice parameters (Å, degrees): 3.109 4.595 9.269 90.00 90.00 90.00
Element x y z (fractional)
Re1 0.000 0.000 0.236
Re2 0.000 0.000 0.764
Re3 0.500 0.500 0.264
Re4 0.500 0.500 0.736
Te1 0.000 0.500 0.500
Te2 0.500 0.000 0.000
W1 0.000 0.500 0.000
W2 0.500 0.000 0.500

Computed properties:
energy = -38.17 eV per formula unit
N(E_F) = 1.033 states/eV/atom
formation energy (no corrections) = 705 meV/atom
total magnetic moment = 0.00 μB per cell

=====

Compound: Ca2CuAu2
Source: the Alexandria database
Functional: PBE
Structure: relaxed

Lattice parameters (Å, degrees): 5.750 5.750 7.792 90.00 90.00 90.00
Element x y z (fractional)
Ca1 0.000 0.500 0.250
Ca2 0.000 0.500 0.750
Ca3 0.500 0.000 0.250
Ca4 0.500 0.000 0.750
Cu1 0.000 0.000 0.000
Cu2 0.500 0.500 0.500
Au1 0.000 0.000 0.329
Au2 0.000 0.000 0.671
Au3 0.500 0.500 0.171
Au4 0.500 0.500 0.829

Computed properties:
energy = -16.61 eV per formula unit
N(E_F) = 0.478 states/eV/atom
total magnetic moment = 0.00 μB per cell
energy of formation = -390 meV/atom

=====

Compound: La4PbAu
Source: the Alexandria database
Functional: PBE
Structure: relaxed

Lattice parameters (Å, degrees): 5.732 7.265 9.316 90.00 99.22 90.00
Element x y z (fractional)
La1 0.171 0.250 0.049
La2 0.214 0.750 0.369
La3 0.315 0.526 0.728
La4 0.315 0.974 0.728
La5 0.685 0.026 0.272
La6 0.685 0.474 0.272
La7 0.786 0.250 0.631
La8 0.829 0.750 0.951
Pb1 0.225 0.250 0.414
Pb2 0.775 0.750 0.586
Au1 0.346 0.750 0.053
Au2 0.654 0.250 0.947

Computed properties:
energy = -29.60 eV per formula unit
polymorph energy (0 for the lowest one) = 0.000 eV/atom
N(E_F) = 1.238 states/eV/atom
total magnetic moment = 0.00 μB per cell
energy of formation = -485 meV/atom

=====

Compound: Cu2SiSbOs
Source: the Alexandria database
Functional: PBE
Structure: relaxed

Lattice parameters (Å, degrees): 4.780 4.780 4.480 90.00 90.00 90.00
Element x y z (fractional)
Cu1 0.000 0.500 0.000
Cu2 0.500 0.000 0.000
Si1 0.000 0.000 0.500
Sb1 0.500 0.500 0.500
Os1 0.000 0.000 0.000

Computed properties:
energy = -24.70 eV per formula unit
N(E_F) = 1.096 states/eV/atom
formation energy (no corrections) = 854 meV/atom
total magnetic moment = 0.00 μB per cell

=====

Compound: Na2PRhO4
Source: the Alexandria database
Functional: PBE
Structure: relaxed

Lattice parameters (Å, degrees): 5.839 5.839 5.880 90.00 90.00 90.00
Element x y z (fractional)
Na1 0.000 0.000 0.000
Na2 0.000 0.500 0.250
Na3 0.500 0.000 0.750
Na4 0.500 0.500 0.500
P1 0.000 0.000 0.500
P2 0.500 0.500 0.000
Rh1 0.000 0.500 0.750
Rh2 0.500 0.000 0.250
O1 0.138 0.166 0.659
O2 0.166 0.862 0.341
O3 0.334 0.638 0.841
O4 0.362 0.334 0.159
O5 0.638 0.666 0.159
O6 0.666 0.362 0.841
O7 0.834 0.138 0.341
O8 0.862 0.834 0.659

Computed properties:
energy = -47.54 eV per formula unit
formation energy (no corrections) = -1538 meV/atom
total magnetic moment = 0.13 μB per cell

=====

Compound: PmSc2Mn
Source: the Alexandria database
Functional: PBE
Structure: relaxed

Lattice parameters (Å, degrees): 3.242 3.242 8.625 90.00 90.00 90.00
Element x y z (fractional)
Pm1 0.000 0.000 0.000
Sc1 0.500 0.500 0.319
Sc2 0.500 0.500 0.681
Mn1 0.000 0.000 0.500

Computed properties:
energy = -26.27 eV per formula unit
polymorph energy (0 for the lowest one) = 0.000 eV/atom
N(E_F) = 1.530 states/eV/atom
total magnetic moment = 1.26 μB per cell
energy of formation = 79 meV/atom